(1)
VASP calculation (GGA-PBE) on a relaxed HoNbMo crystal.

```
data_HoNbMo
_chemical_formula_sum 'Ho8 Nb8 Mo8'
_space_group_name_H-M_alt 'F m m m'
_space_group_IT_number 69
_space_group_name_Hall '-F 2 2'
_cell_length_a 5.973
_cell_length_b 8.492
_cell_length_c 10.233
_cell_angle_alpha 90.00
_cell_angle_beta 90.00
_cell_angle_gamma 90.00
loop_
_atom_site_label
_atom_site_type_symbol
_atom_site_fract_x
_atom_site_fract_y
_atom_site_fract_z
Ho1 Ho 0.000 0.182 0.000
Nb1 Nb 0.000 0.000 0.325
Mo1 Mo 0.250 0.250 0.250
```

---

(2)
VASP calculation (GGA-PBE) on a relaxed YTm2PaAs4 crystal.

```
data_YTm2PaAs4
_chemical_formula_sum 'Y1 Tm2 Pa1 As4'
_space_group_name_H-M_alt 'P 1 2/m 1'
_space_group_IT_number 10
_cell_length_a 7.054
_cell_length_b 4.089
_cell_length_c 7.069
_cell_angle_alpha 90.00
_cell_angle_beta 109.49
_cell_angle_gamma 90.00
loop_
_space_group_symop_operation_xyz
'x,y,z'
'-x,-y,-z'
'-x,y,-z'
'x,-y,z'
loop_
_atom_site_label
_atom_site_type_symbol
_atom_site_fract_x
_atom_site_fract_y
_atom_site_fract_z
Y1 Y 0.000 0.000 0.000
Tm1 Tm 0.500 0.000 0.500
Tm2 Tm 0.500 0.500 0.000
Pa1 Pa 0.000 0.500 0.500
As1 As 0.252 0.500 0.254
As2 As 0.253 0.000 0.750
```

---

(3)
# PuGaSe4, relaxed, DFT GGA-PBE
# Formation energy without anion corrections, eV per atom: -0.62
data_PuGaSe4
_chemical_formula_sum 'Pu2 Ga2 Se8'
_space_group_name_H-M_alt 'I -4'
_space_group_IT_number 82
_cell_length_a 6.463
_cell_length_b 6.463
_cell_length_c 6.887
_cell_angle_alpha 90.00
_cell_angle_beta 90.00
_cell_angle_gamma 90.00
loop_
_space_group_symop_operation_xyz
'x,y,z'
'y,-x,-z'
'-x,-y,z'
'-y,x,-z'
'x+1/2,y+1/2,z+1/2'
'y+1/2,-x+1/2,-z+1/2'
'-x+1/2,-y+1/2,z+1/2'
'-y+1/2,x+1/2,-z+1/2'
loop_
_atom_site_label
_atom_site_type_symbol
_atom_site_fract_x
_atom_site_fract_y
_atom_site_fract_z
Pu1 Pu 0.000 0.000 0.000
Ga1 Ga 0.000 0.500 0.250
Se1 Se 0.200 0.795 0.639

---

(4)
VASP calculation (GGA-PBE) on a relaxed Fe2TcP crystal.

```
data_Fe2TcP
_chemical_formula_sum 'Fe4 Tc2 P2'
_space_group_name_H-M_alt 'C m m 2'
_space_group_IT_number 35
_cell_length_a 3.043
_cell_length_b 4.516
_cell_length_c 7.495
_cell_angle_alpha 90.00
_cell_angle_beta 90.00
_cell_angle_gamma 90.00
loop_
_space_group_symop_operation_xyz
'x,y,z'
'-x,-y,z'
'-x,y,z'
'x,-y,z'
'x+1/2,y+1/2,z'
'-x+1/2,-y+1/2,z'
'-x+1/2,y+1/2,z'
'x+1/2,-y+1/2,z'
loop_
_atom_site_label
_atom_site_type_symbol
_atom_site_fract_x
_atom_site_fract_y
_atom_site_fract_z
Fe1 Fe 0.000 0.000 0.000
Fe2 Fe 0.000 0.500 0.256
Tc1 Tc 0.000 0.000 0.538
P1 P 0.000 0.500 0.778
```

---

(5)
VASP calculation (GGA-PBE) on a relaxed ScCo2Mo crystal.

```
data_ScCo2Mo
_chemical_formula_sum 'Sc3 Co6 Mo3'
_space_group_name_H-M_alt 'R 3 m'
_space_group_IT_number 160
_space_group_name_Hall 'R 3 -2"'
_cell_length_a 2.8203
_cell_length_b 2.8203
_cell_length_c 25.6474
_cell_angle_alpha 90.00
_cell_angle_beta 90.00
_cell_angle_gamma 120.00
loop_
_atom_site_label
_atom_site_type_symbol
_atom_site_fract_x
_atom_site_fract_y
_atom_site_fract_z
Sc1 Sc 0.0000 0.0000 0.0000
Co1 Co 0.0000 0.0000 0.2496
Co2 Co 0.0000 0.0000 0.5112
Mo1 Mo 0.0000 0.0000 0.7651
```

---

(6)
# SiGeRh3, relaxed, DFT GGA-PBE
# E above lowest polymorph, eV/atom: 0.841
# Formation energy without anion corrections, eV per atom: 0.24
data_SiGeRh3
_chemical_formula_sum 'Si1 Ge1 Rh3'
_space_group_name_H-M_alt 'P m -3 m'
_space_group_IT_number 221
_space_group_name_Hall '-P 4 2 3'
_cell_length_a 4.415
_cell_length_b 4.415
_cell_length_c 4.415
_cell_angle_alpha 90.00
_cell_angle_beta 90.00
_cell_angle_gamma 90.00
loop_
_atom_site_label
_atom_site_type_symbol
_atom_site_fract_x
_atom_site_fract_y
_atom_site_fract_z
Si1 Si 0.000 0.000 0.000
Ge1 Ge 0.500 0.500 0.500
Rh1 Rh 0.000 0.000 0.500

---

Calculated VASP energy in order - -197.3; -54.7; -70.1; -64.4; -90.0; -30.9 eV/cell